## LaCr2Tc (GGA-PBE)

Data for crystalline LaCr2Tc at its relaxed geometry.

Space-group type: F-43m (216)
ΔE to the lowest computed polymorph in eV/atom: 0.178
Formation energy from the elements in meV per atom: 537

Cell: 4.6339 4.6339 4.6339 Å, 120.01 120.01 89.98°
Each line ends with the local moment (μB).
Fractional positions:
Tc 0.7500 0.2500 0.5000  0.56
Cr 0.0000 0.0000 0.0000  -2.68
Cr 0.2500 0.7500 0.5000  2.66
La 0.5000 0.5000 0.0000  0.07


## LaCr2Tc (GGA-PBE)

Data for crystalline LaCr2Tc at its relaxed geometry.

Space-group type: C2/m (12)
ΔE to the lowest computed polymorph in eV/atom: 0.417
Formation energy from the elements in meV per atom: 776

Cell: 5.0988 5.2283 2.9253 Å, 79.32 78.94 117.36°
Fractional positions:
Tc 0.5000 0.0000 0.5000
Cr 0.0000 0.5000 0.5000
Cr 0.0000 0.0000 0.0000
La 0.5000 0.5000 0.0000


## LaCr2Tc2 (GGA-PBE)

Data for crystalline LaCr2Tc2 at its relaxed geometry.

Space-group type: I4/mmm (139)
Formation energy from the elements in meV per atom: 176

Cell: 4.1844 4.1844 5.9669 Å, 69.47 69.47 90.00°
Fractional positions:
Cr 0.7500 0.2500 0.5000
Cr 0.2500 0.7500 0.5000
Tc 0.6312 0.6312 0.7375
Tc 0.3688 0.3688 0.2625
La 0.0000 0.0000 0.0000


## LaCr4Tc (GGA-PBE)

Data for crystalline LaCr4Tc at its relaxed geometry.

Space-group type: F-43m (216)
Formation energy from the elements in meV per atom: 538

Cell: 5.0373 5.0373 5.0373 Å, 60.00 60.00 60.00°
Fractional positions:
Tc 0.0000 0.0000 0.0000
La 0.7500 0.7500 0.7500
Cr 0.3746 0.3746 0.8763
Cr 0.3746 0.8763 0.3746
Cr 0.8763 0.3746 0.3746
Cr 0.3746 0.3746 0.3746


## LaCr2Tc (GGA-PBE)

Data for crystalline LaCr2Tc at its relaxed geometry.

Space-group type: I4_1/amd (141)
ΔE to the lowest computed polymorph in eV/atom: 0.463
Formation energy from the elements in meV per atom: 822

Cell: 4.6147 4.6147 8.8135 Å, 74.82 74.82 90.00°
Each line ends with the local moment (μB).
Fractional positions:
Cr 0.3750 0.1250 0.2500  0.13
Cr 0.3750 0.6250 0.7500  0.19
Cr 0.8750 0.6250 0.7500  0.18
Cr 0.3750 0.6250 0.2500  0.13
Tc 0.5000 0.5000 0.0000  -0.08
Tc 0.2500 0.7500 0.5000  -0.08
La 0.7500 0.2500 0.5000  0.00
La 0.0000 0.0000 0.0000  0.00


## LaCr2Tc (GGA-PBE)

Data for crystalline LaCr2Tc at its relaxed geometry.

Space-group type: R-3m (166)
ΔE to the lowest computed polymorph in eV/atom: 0.391
Formation energy from the elements in meV per atom: 750

Cell: 9.1517 9.1517 9.1517 Å, 19.52 19.52 19.52°
Each line ends with the local moment (μB).
Fractional positions:
Cr 0.0171 0.0171 0.0171  2.60
Cr 0.4829 0.4829 0.4829  2.60
Tc 0.7500 0.7500 0.7500  -0.88
La 0.2500 0.2500 0.2500  -0.25


## LaCr2Tc (GGA-PBE)

Data for crystalline LaCr2Tc at its relaxed geometry.

Space-group type: Cmm2 (35)
ΔE to the lowest computed polymorph in eV/atom: 0.219
Formation energy from the elements in meV per atom: 578

Cell: 2.8362 2.8362 8.8920 Å, 90.00 90.00 113.08°
Fractional positions:
Cr 0.0000 0.0000 0.0122
Cr 0.5000 0.5000 0.1982
Tc 0.5000 0.5000 0.7929
La 0.0000 0.0000 0.4966


## LaCr2Tc (GGA-PBE)

Data for crystalline LaCr2Tc at its relaxed geometry.

Space-group type: P4/mmm (123)
ΔE to the lowest computed polymorph in eV/atom: 0.385
Formation energy from the elements in meV per atom: 744

Cell: 4.6753 4.6753 3.0872 Å, 90.00 90.00 90.00°
Each line ends with the local moment (μB).
Fractional positions:
La 0.5000 0.0000 0.5000  0.00
Tc 0.0000 0.5000 0.5000  -0.85
Cr 0.0000 0.0000 0.0000  1.71
Cr 0.5000 0.5000 0.0000  1.71


## LaCr2Tc (GGA-PBE)

Data for crystalline LaCr2Tc at its relaxed geometry.

Space-group type: Cm (8)
ΔE to the lowest computed polymorph in eV/atom: 0.146
Formation energy from the elements in meV per atom: 505

Cell: 4.6806 4.6806 5.7106 Å, 74.00 74.00 38.77°
Each line ends with the local moment (μB).
Fractional positions:
Cr 0.7107 0.7107 0.8570  1.53
Cr 0.0038 0.0038 0.9978  -1.13
La 0.5029 0.5029 0.4982  0.00
Tc 0.2827 0.2827 0.1469  0.08


## LaCr2Tc (GGA-PBE)

Data for crystalline LaCr2Tc at its relaxed geometry.

Space-group type: P4mm (99)
ΔE to the lowest computed polymorph in eV/atom: 0.000
Formation energy from the elements in meV per atom: 358

Cell: 3.0465 3.0465 7.6462 Å, 90.00 90.00 90.00°
Each line ends with the local moment (μB).
Fractional positions:
Tc 0.5000 0.5000 0.8156  0.66
La 0.0000 0.0000 0.5102  -0.02
Cr 0.5000 0.5000 0.1814  2.88
Cr 0.0000 0.0000 0.9928  -1.19


## LaTiCrTc2 (GGA-PBE)

Data for crystalline LaTiCrTc2 at its relaxed geometry.

Space-group type: P4/mmm (123)
Formation energy from the elements in meV per atom: 740

Cell: 4.6802 4.6802 4.7154 Å, 90.00 90.00 90.00°
Each line ends with the local moment (μB).
Fractional positions:
Tc 0.0000 0.5000 0.0000  0.25
Tc 0.5000 0.0000 0.0000  0.25
Ti 0.0000 0.0000 0.0000  -0.12
La 0.5000 0.5000 0.5000  0.07
Cr 0.0000 0.0000 0.5000  2.95


## LaCr2Te (GGA-PBE)

Data for crystalline LaCr2Te at its relaxed geometry.

Space-group type: I-42d (122)
E_form (uncorrected) in eV/atom: 0.3330

Cell: 4.4674 4.4674 10.8545 Å, 78.12 78.12 90.00°
Each line ends with the local moment (μB).
Fractional positions:
Cr 0.8750 0.8437 0.7500  3.73
Cr 0.5937 0.1250 0.2500  3.75
Cr 0.1563 0.6250 0.2500  3.73
Cr 0.3750 0.4063 0.7500  3.73
Te 0.2500 0.7500 0.5000  -0.02
Te 0.5000 0.5000 0.0000  -0.02
La 0.7500 0.2500 0.5000  0.06
La 0.0000 0.0000 0.0000  0.06


## La2CrTe (GGA-PBE)

Data for crystalline La2CrTe at its relaxed geometry.

Space-group type: F-43m (216)
E_form (uncorrected) in eV/atom: 0.0396

Cell: 5.3570 5.3570 5.3570 Å, 60.00 60.00 60.00°
Each line ends with the local moment (μB).
Fractional positions:
La 0.2500 0.2500 0.2500  -0.35
La 0.0000 0.0000 0.0000  -0.39
Te 0.7500 0.7500 0.7500  0.03
Cr 0.5000 0.5000 0.5000  3.48


## La3Cr5Te12 (GGA-PBE)

Data for crystalline La3Cr5Te12 at its relaxed geometry.

Space-group type: Ia-3d (230)
E_form (uncorrected) in eV/atom: -0.5725

Cell: 14.8733 14.8733 14.8733 Å, 109.47 109.47 109.47°
Each line ends with the local moment (μB).
Fractional positions:
Te 0.2951 0.8837 0.9723  -0.15
Te 0.1772 0.0886 0.9723  -0.15
Te 0.6772 0.2049 0.5886  -0.15
Te 0.5277 0.2049 0.1163  -0.15
Te 0.6772 0.4723 0.5886  -0.15
Te 0.9114 0.0886 0.8837  -0.15
Te 0.5886 0.7049 0.6772  -0.15
Te 0.2951 0.4114 0.8228  -0.15
Te 0.7951 0.4723 0.3837  -0.15
Te 0.3837 0.9723 0.7951  -0.15
Te 0.0886 0.1772 0.2049  -0.15
Te 0.1163 0.4114 0.0886  -0.15
Te 0.4723 0.6772 0.0886  -0.15
Te 0.9114 0.8228 0.7951  -0.15
Te 0.9114 0.8228 0.5277  -0.15
Te 0.6163 0.5886 0.9114  -0.15
Te 0.7951 0.3228 0.9114  -0.15
Te 0.4723 0.7951 0.8837  -0.15
Te 0.0277 0.4114 0.8228  -0.15
Te 0.2049 0.5277 0.6163  -0.15
Te 0.4114 0.0277 0.3228  -0.15
Te 0.5277 0.3228 0.9114  -0.15
Te 0.8228 0.9114 0.2951  -0.15
Te 0.4114 0.2951 0.3228  -0.15
Te 0.0886 0.9114 0.1163  -0.15
Te 0.0886 0.1772 0.4723  -0.15
Te 0.7049 0.1163 0.0277  -0.15
Te 0.5886 0.6163 0.4114  -0.15
Te 0.3228 0.7951 0.4114  -0.15
Te 0.8228 0.9114 0.0277  -0.15
Te 0.1163 0.7049 0.5277  -0.15
Te 0.9723 0.3837 0.2951  -0.15
Te 0.9114 0.0886 0.6163  -0.15
Te 0.6163 0.0277 0.2049  -0.15
Te 0.8837 0.2951 0.4723  -0.15
Te 0.0886 0.9114 0.3837  -0.15
Te 0.4114 0.1163 0.5886  -0.15
Te 0.3228 0.5277 0.4114  -0.15
Te 0.7049 0.5886 0.1772  -0.15
Te 0.5886 0.8837 0.4114  -0.15
Te 0.5886 0.9723 0.6772  -0.15
Te 0.8837 0.5886 0.9114  -0.15
Te 0.9723 0.5886 0.1772  -0.15
Te 0.1772 0.0886 0.7049  -0.15
Te 0.0277 0.6163 0.7049  -0.15
Te 0.4114 0.3837 0.5886  -0.15
Te 0.3837 0.4114 0.0886  -0.15
Te 0.2049 0.6772 0.0886  -0.15
La 0.8750 0.1250 0.2500  0.03
La 0.6250 0.2500 0.3750  0.03
La 0.7500 0.3750 0.1250  0.03
La 0.2500 0.1250 0.3750  0.03
La 0.6250 0.3750 0.7500  0.03
La 0.8750 0.7500 0.1250  0.03
La 0.3750 0.6250 0.2500  0.03
La 0.2500 0.6250 0.8750  0.03
La 0.1250 0.2500 0.8750  0.03
La 0.1250 0.8750 0.7500  0.03
La 0.7500 0.8750 0.6250  0.03
La 0.3750 0.7500 0.6250  0.03
Cr 0.3750 0.2500 0.1250  3.09
Cr 0.5000 0.5000 0.5000  3.19
Cr 0.8750 0.2500 0.6250  3.09
Cr 0.0000 0.0000 0.5000  3.19
Cr 0.2500 0.3750 0.6250  3.09
Cr 0.7500 0.6250 0.3750  3.09
Cr 0.5000 0.5000 0.0000  3.19
Cr 0.0000 0.5000 0.5000  3.19
Cr 0.5000 0.0000 0.0000  3.19
Cr 0.2500 0.8750 0.1250  3.09
Cr 0.7500 0.1250 0.8750  3.09
Cr 0.0000 0.5000 0.0000  3.19
Cr 0.8750 0.6250 0.7500  3.09
Cr 0.6250 0.7500 0.8750  3.09
Cr 0.0000 0.0000 0.0000  3.19
Cr 0.1250 0.7500 0.3750  3.09
Cr 0.1250 0.3750 0.2500  3.09
Cr 0.5000 0.0000 0.5000  3.19
Cr 0.6250 0.8750 0.2500  3.09
Cr 0.3750 0.1250 0.7500  3.09


## LaCr2Te (GGA-PBE)

Data for crystalline LaCr2Te at its relaxed geometry.

Space-group type: Pmm2 (25)
E_form (uncorrected) in eV/atom: -0.0117

Cell: 3.9647 4.0025 6.2815 Å, 90.00 90.00 90.00°
Each line ends with the local moment (μB).
Fractional positions:
Cr 0.0000 0.8750 0.1004  -3.54
Cr 0.5000 0.3747 0.0988  3.54
La 0.0000 0.3752 0.5271  -0.01
Te 0.5000 0.8752 0.7737  0.00


## LaCr2Te (GGA-PBE)

Data for crystalline LaCr2Te at its relaxed geometry.

Space-group type: P4mm (99)
E_form (uncorrected) in eV/atom: 0.0538

Cell: 3.6637 3.6637 7.0343 Å, 90.00 90.00 90.00°
Each line ends with the local moment (μB).
Fractional positions:
La 0.0000 0.0000 0.4965  0.15
Cr 0.0000 0.0000 0.0396  3.54
Cr 0.5000 0.5000 0.1771  -3.30
Te 0.5000 0.5000 0.7868  -0.02


## LaCr2Te (GGA-PBE)

Data for crystalline LaCr2Te at its relaxed geometry.

Space-group type: P4/mmm (123)
E_form (uncorrected) in eV/atom: 0.2409

Cell: 4.5273 4.5273 4.7769 Å, 90.00 90.00 90.00°
Each line ends with the local moment (μB).
Fractional positions:
Cr 0.5000 0.5000 0.0000  3.81
Cr 0.0000 0.0000 0.0000  3.81
La 0.5000 0.0000 0.5000  0.04
Te 0.0000 0.5000 0.5000  -0.02


## LaCr2Te (GGA-PBE)

Data for crystalline LaCr2Te at its relaxed geometry.

Space-group type: C2/m (12)
E_form (uncorrected) in eV/atom: 0.2658

Cell: 4.9582 4.9582 5.5065 Å, 74.95 74.95 42.09°
Fractional positions:
Te 0.2500 0.2500 0.2500
La 0.7500 0.7500 0.7500
Cr 0.9884 0.9884 0.1280
Cr 0.5116 0.5116 0.3720


## LaCr2Te (GGA-PBE)

Data for crystalline LaCr2Te at its relaxed geometry.

Space-group type: Pmmm (47)
E_form (uncorrected) in eV/atom: 0.2121

Cell: 4.6368 4.3626 4.8621 Å, 89.98 90.00 90.00°
Fractional positions:
Cr 0.0000 0.7504 0.0611
Cr 0.0000 0.7496 0.4389
Te 0.5000 0.7500 0.7500
La 0.5000 0.2500 0.2500


## LaCr2Te (GGA-PBE)

Data for crystalline LaCr2Te at its relaxed geometry.

Space-group type: P4/mmm (123)
E_form (uncorrected) in eV/atom: 0.4209

Cell: 3.7297 3.7297 6.3243 Å, 90.00 90.00 90.00°
Each line ends with the local moment (μB).
Fractional positions:
Te 0.5000 0.5000 0.7500  -0.01
La 0.5000 0.5000 0.2500  -0.07
Cr 0.0000 0.0000 0.9051  0.65
Cr 0.0000 0.0000 0.5949  0.65


## LaCr2Te2 (GGA-PBE)

Data for crystalline LaCr2Te2 at its relaxed geometry.

Space-group type: I4/mmm (139)
ΔE to the lowest computed polymorph in eV/atom: 0.000
E_form (uncorrected) in eV/atom: -0.2670

Cell: 4.9745 4.9745 5.6604 Å, 63.93 63.93 90.00°
Each line ends with the local moment (μB).
Fractional positions:
La 0.0000 0.0000 0.0000  0.00
Cr 0.6109 0.6109 0.7782  0.65
Cr 0.3891 0.3891 0.2218  0.65
Te 0.2500 0.7500 0.5000  -0.02
Te 0.7500 0.2500 0.5000  -0.02


## LaCr2Te2 (GGA-PBE)

Data for crystalline LaCr2Te2 at its relaxed geometry.

Space-group type: P4/mbm (127)
ΔE to the lowest computed polymorph in eV/atom: 0.252
E_form (uncorrected) in eV/atom: -0.0154

Cell: 7.7431 7.7431 3.7776 Å, 90.00 90.00 90.00°
Each line ends with the local moment (μB).
Fractional positions:
Te 0.8201 0.3201 0.5000  -0.03
Te 0.6799 0.8201 0.5000  -0.02
Te 0.1799 0.6799 0.5000  -0.03
Te 0.3201 0.1799 0.5000  -0.03
Cr 0.0877 0.4123 0.0000  1.09
Cr 0.5877 0.0877 0.0000  1.13
Cr 0.4123 0.9123 0.0000  1.13
Cr 0.9123 0.5877 0.0000  1.09
La 0.0000 0.0000 0.0000  0.05
La 0.5000 0.5000 0.0000  0.05


## LaCr2Te (GGA-PBE)

Data for crystalline LaCr2Te at its relaxed geometry.

Space-group type: Imm2 (44)
E_form (uncorrected) in eV/atom: 0.1026

Cell: 6.0103 6.0103 6.0103 Å, 138.90 136.00 61.77°
Each line ends with the local moment (μB).
Fractional positions:
La 0.4769 0.4769 0.0000  0.03
Cr 0.2132 0.7132 0.5000  -3.48
Cr 0.0740 0.0740 0.0000  3.36
Te 0.7359 0.2359 0.5000  0.03


## LaCr2Te (GGA-PBE)

Data for crystalline LaCr2Te at its relaxed geometry.

Space-group type: F-43m (216)
E_form (uncorrected) in eV/atom: 0.2383

Cell: 5.1734 5.1734 5.1734 Å, 60.00 60.00 60.00°
Each line ends with the local moment (μB).
Fractional positions:
La 0.5000 0.5000 0.5000  0.01
Te 0.7500 0.7500 0.7500  0.01
Cr 0.0000 0.0000 0.0000  -3.83
Cr 0.2500 0.2500 0.2500  3.83


## LaCr2Te (GGA-PBE)

Data for crystalline LaCr2Te at its relaxed geometry.

Space-group type: R-3m (166)
E_form (uncorrected) in eV/atom: 0.1771

Cell: 5.8788 5.8788 5.8788 Å, 44.22 44.22 44.22°
Fractional positions:
La 0.7500 0.7500 0.7500
Te 0.2500 0.2500 0.2500
Cr 0.5715 0.5715 0.5715
Cr 0.9285 0.9285 0.9285


Number 1: E -8.10 eV/atom. Number 2: E -7.86 eV/atom. Number 3: E -8.80 eV/atom. Number 4: E -8.43 eV/atom. Number 5: E -7.81 eV/atom. Number 6: E -7.89 eV/atom. Number 7: E -8.06 eV/atom. Number 8: E -7.89 eV/atom. Number 9: E -8.13 eV/atom. Number 10: E -8.28 eV/atom. Number 11: E -7.90 eV/atom. Number 12: E -6.50 eV/atom. Number 13: E -5.62 eV/atom. Number 14: E -5.60 eV/atom. Number 15: E -6.84 eV/atom. Number 16: E -6.78 eV/atom. Number 17: E -6.59 eV/atom. Number 18: E -6.56 eV/atom. Number 19: E -6.62 eV/atom. Number 20: E -6.41 eV/atom. Number 21: E -6.36 eV/atom. Number 22: E -6.11 eV/atom. Number 23: E -6.73 eV/atom. Number 24: E -6.59 eV/atom. Number 25: E -6.65 eV/atom.